(1)
Density functional theory data (PBE) for an optimized crystal structure of NpReH.

The structure in POSCAR format:
```
NpReH
1.0
2.970 0.000 0.000
0.000 2.970 0.000
0.000 0.000 9.248
Np Re H
2 2 2
Direct
0.000 0.000 0.000 Np
0.500 0.500 0.500 Np
0.000 0.000 0.279 Re
0.500 0.500 0.779 Re
0.000 0.000 0.592 H
0.500 0.500 0.092 H
```

distance to the lowest polymorph of the same formula: 0.4140 eV per atom
symmetry: I4mm (107)
total magnetic moment: 2.18 μB per formula unit
total DFT energy (no corrections): -8.91 eV per atom
density: 17.3 g cm⁻³

(2)
Density functional theory data (PBE) for an optimized crystal structure of Zn2Cd2P.

The structure in POSCAR format:
```
Zn2Cd2P
1.0
7.896 0.000 0.000
0.000 7.896 0.000
0.000 0.000 3.076
Zn Cd P
4 4 2
Direct
0.171 0.329 0.000 Zn
0.329 0.829 0.000 Zn
0.671 0.171 0.000 Zn
0.829 0.671 0.000 Zn
0.133 0.633 0.500 Cd
0.367 0.133 0.500 Cd
0.633 0.867 0.500 Cd
0.867 0.367 0.500 Cd
0.000 0.000 0.000 P
0.500 0.500 0.000 P
```

calculated formation energy: 340 meV/atom
distance to the lowest polymorph of the same formula: 0.0551 eV per atom
symmetry: P4/mbm (127)
total magnetic moment: 0.00 μB per formula unit
total DFT energy (no corrections): -1.62 eV per atom
density: 6.7 g cm⁻³

(3)
Density functional theory data (PBE) for an optimized crystal structure of MnCd2CuSb.

The structure in POSCAR format:
```
MnCd2CuSb
1.0
4.914 0.000 0.000
0.000 4.914 0.000
0.000 0.000 5.126
Mn Cd Cu Sb
1 2 1 1
Direct
0.000 0.000 0.000 Mn
0.000 0.500 0.500 Cd
0.500 0.000 0.500 Cd
0.500 0.500 0.500 Cu
0.500 0.500 0.000 Sb
```

formation energy without anion corrections: 2.8 eV per formula unit
symmetry: P4/mmm (123)
total magnetic moment: 4.66 μB per formula unit
total DFT energy (no corrections): -3.28 eV per atom
density: 6.2 g cm⁻³

(4)
Density functional theory data (PBE) for an optimized crystal structure of Cs2RbTlPb.

The structure in POSCAR format:
```
Cs2RbTlPb
1.0
7.466 0.000 0.000
0.000 7.466 0.000
0.000 0.000 5.861
Cs Rb Tl Pb
2 1 1 1
Direct
0.000 0.500 0.000 Cs
0.500 0.000 0.000 Cs
0.000 0.000 0.500 Rb
0.500 0.500 0.000 Tl
0.500 0.500 0.500 Pb
```

calculated formation energy: 38 meV/atom
distance to the lowest polymorph of the same formula: 0.0000 eV per atom
symmetry: P4/mmm (123)
total magnetic moment: 0.52 μB per formula unit
total DFT energy (no corrections): -1.71 eV per atom
density: 3.9 g cm⁻³

(5)
Density functional theory data (PBE) for an optimized crystal structure of RbNbTl2Se4.

The structure in POSCAR format:
```
RbNbTl2Se4
1.0
6.953 0.000 0.000
0.000 6.953 0.000
0.000 0.000 13.988
Rb Nb Tl Se
2 2 4 8
Direct
0.000 0.000 0.000 Rb
0.500 0.500 0.500 Rb
0.000 0.500 0.250 Nb
0.500 0.000 0.750 Nb
0.000 0.000 0.500 Tl
0.000 0.500 0.750 Tl
0.500 0.000 0.250 Tl
0.500 0.500 0.000 Tl
0.186 0.718 0.349 Se
0.218 0.314 0.151 Se
0.282 0.186 0.651 Se
0.314 0.782 0.849 Se
0.686 0.218 0.849 Se
0.718 0.814 0.651 Se
0.782 0.686 0.151 Se
0.814 0.282 0.349 Se
```

formation energy without anion corrections: -5.5 eV per formula unit
symmetry: I-4 (82)
total magnetic moment: 0.00 μB per formula unit
total DFT energy (no corrections): -4.40 eV per atom
density: 4.4 g cm⁻³

(6)
Density functional theory data (PBE) for an optimized crystal structure of Cs2HgC.

The structure in POSCAR format:
```
Cs2HgC
1.0
8.566 0.000 0.000
0.000 8.566 0.000
0.000 0.000 8.566
Cs Hg C
8 4 4
Direct
0.250 0.250 0.250 Cs
0.250 0.250 0.750 Cs
0.250 0.750 0.250 Cs
0.250 0.750 0.750 Cs
0.750 0.250 0.250 Cs
0.750 0.250 0.750 Cs
0.750 0.750 0.250 Cs
0.750 0.750 0.750 Cs
0.000 0.000 0.000 Hg
0.000 0.500 0.500 Hg
0.500 0.000 0.500 Hg
0.500 0.500 0.000 Hg
0.000 0.000 0.500 C
0.000 0.500 0.000 C
0.500 0.000 0.000 C
0.500 0.500 0.500 C
```

calculated formation energy: 1100 meV/atom
symmetry: Fm-3m (225)
total magnetic moment: 2.00 μB per formula unit
total DFT energy (no corrections): -1.71 eV per atom
density: 5.1 g cm⁻³

(7)
Density functional theory data (PBE) for an optimized crystal structure of TaIn2Te.

The structure in POSCAR format:
```
TaIn2Te
1.0
3.366 0.000 0.000
0.000 5.012 0.000
0.000 0.000 5.495
Ta In Te
1 2 1
Direct
0.000 0.000 0.000 Ta
0.000 0.500 0.500 In
0.500 0.000 0.500 In
0.500 0.500 0.000 Te
```

distance to the lowest polymorph of the same formula: 0.3567 eV per atom
formation energy without anion corrections: 1.7 eV per formula unit
symmetry: Pmmm (47)
total magnetic moment: 0.00 μB per formula unit
total DFT energy (no corrections): -4.68 eV per atom
density: 9.6 g cm⁻³

(8)
Density functional theory data (PBE) for an optimized crystal structure of TbTm2Pd3.

The structure in POSCAR format:
```
TbTm2Pd3
1.0
3.483 0.000 0.000
0.000 3.483 0.000
0.000 0.000 10.448
Tb Tm Pd
1 2 3
Direct
0.000 0.000 0.000 Tb
0.000 0.000 0.336 Tm
0.000 0.000 0.664 Tm
0.500 0.500 0.174 Pd
0.500 0.500 0.500 Pd
0.500 0.500 0.826 Pd
```

calculated formation energy: -913 meV/atom
distance to the lowest polymorph of the same formula: 0.0046 eV per atom
symmetry: P4/mmm (123)
total magnetic moment: 0.00 μB per formula unit
total DFT energy (no corrections): -5.77 eV per atom
density: 10.7 g cm⁻³

(9)
Density functional theory data (PBE) for an optimized crystal structure of Ac2RuAu.

The structure in POSCAR format:
```
Ac2RuAu
1.0
4.318 0.000 0.000
-2.159 3.739 0.000
0.000 0.000 22.895
Ac Ru Au
6 3 3
Direct
0.000 0.000 0.000 Ac
0.000 0.000 0.192 Ac
0.333 0.667 0.667 Ac
0.333 0.667 0.858 Ac
0.667 0.333 0.333 Ac
0.667 0.333 0.525 Ac
0.000 0.000 0.595 Ru
0.333 0.667 0.261 Ru
0.667 0.333 0.928 Ru
0.000 0.000 0.430 Au
0.333 0.667 0.097 Au
0.667 0.333 0.763 Au
```

calculated formation energy: -356 meV/atom
symmetry: R3m (160)
total magnetic moment: 0.00 μB per formula unit
total DFT energy (no corrections): -5.55 eV per atom
density: 10.1 g cm⁻³

(10)
Density functional theory data (PBE) for an optimized crystal structure of KTlIr2.

The structure in POSCAR format:
```
KTlIr2
1.0
6.109 0.000 0.000
0.000 9.379 0.000
0.000 0.000 2.774
K Tl Ir
2 2 4
Direct
0.000 0.000 0.000 K
0.500 0.500 0.000 K
0.000 0.500 0.000 Tl
0.500 0.000 0.000 Tl
0.250 0.250 0.500 Ir
0.250 0.750 0.500 Ir
0.750 0.250 0.500 Ir
0.750 0.750 0.500 Ir
```

calculated formation energy: 971 meV/atom
distance to the lowest polymorph of the same formula: 0.6589 eV per atom
symmetry: Cmmm (65)
total magnetic moment: 0.00 μB per formula unit
total DFT energy (no corrections): -4.33 eV per atom
density: 13.1 g cm⁻³

(11)
Density functional theory data (PBE) for an optimized crystal structure of U2Mn4Ga2C.

The structure in POSCAR format:
```
U2Mn4Ga2C
1.0
-2.882 2.882 3.778
2.882 -2.882 3.778
2.882 2.882 -3.778
U Mn Ga C
2 4 2 1
Direct
0.212 0.212 0.000 U
0.788 0.788 0.000 U
0.250 0.250 0.500 Mn
0.250 0.750 0.000 Mn
0.750 0.250 0.000 Mn
0.750 0.750 0.500 Mn
0.250 0.750 0.500 Ga
0.750 0.250 0.500 Ga
0.500 0.500 0.000 C
```

calculated formation energy: 67 meV/atom
symmetry: I4/mmm (139)
total magnetic moment: 0.24 μB per formula unit
total DFT energy (no corrections): -8.21 eV per atom
density: 11.2 g cm⁻³

(12)
Density functional theory data (PBE) for an optimized crystal structure of TbMgNi.

The structure in POSCAR format:
```
TbMgNi
1.0
12.722 0.000 0.000
0.000 3.891 0.000
0.000 0.000 7.497
Tb Mg Ni
6 6 6
Direct
0.044 0.000 0.221 Tb
0.250 0.000 0.854 Tb
0.456 0.000 0.221 Tb
0.544 0.000 0.779 Tb
0.750 0.000 0.146 Tb
0.956 0.000 0.779 Tb
0.127 0.500 0.565 Mg
0.250 0.500 0.201 Mg
0.373 0.500 0.565 Mg
0.627 0.500 0.435 Mg
0.750 0.500 0.799 Mg
0.873 0.500 0.435 Mg
0.092 0.500 0.941 Ni
0.250 0.000 0.437 Ni
0.408 0.500 0.941 Ni
0.592 0.500 0.059 Ni
0.750 0.000 0.563 Ni
0.908 0.500 0.059 Ni
```

calculated formation energy: -313 meV/atom
symmetry: Pmma (51)
total magnetic moment: 0.00 μB per formula unit
total DFT energy (no corrections): -4.32 eV per atom
density: 6.5 g cm⁻³